DyCdBi2: optimized geometry, PBE-GGA.

Calculated values
E_tot, Ry per atom: -0.262
SG: R3m, No. 160
Formation enthalpy at 0 K, eV per atom: -0.242

abc: 4.6486 4.6486 20.5090
angles: 90.00 90.00 120.00
Sites, in units of the cell vectors:
Dy (0.0000, 0.0000, 0.0000)
Dy (0.3333, 0.6667, 0.6667)
Dy (0.6667, 0.3333, 0.3333)
Cd (0.0000, 0.0000, 0.8315)
Cd (0.3333, 0.6667, 0.4982)
Cd (0.6667, 0.3333, 0.1648)
Bi (0.0000, 0.0000, 0.4151)
Bi (0.0000, 0.0000, 0.5848)
Bi (0.3333, 0.6667, 0.0818)
Bi (0.3333, 0.6667, 0.2514)
Bi (0.6667, 0.3333, 0.7484)
Bi (0.6667, 0.3333, 0.9181)



Dy7Cd2Bi2: optimized geometry, PBE-GGA.

Calculated values
E_tot, Ry per atom: -0.288
SG: Cmmm, No. 65
Formation enthalpy at 0 K, eV per atom: -0.123

abc: 6.8403 6.8403 7.8306
angles: 90.00 90.00 106.99
Sites, in units of the cell vectors:
Dy (0.0000, 0.0000, 0.0000)
Dy (0.0000, 0.5000, 0.2892)
Dy (0.0000, 0.5000, 0.7108)
Dy (0.5000, 0.0000, 0.2892)
Dy (0.5000, 0.0000, 0.7108)
Dy (0.5000, 0.5000, 0.2820)
Dy (0.5000, 0.5000, 0.7180)
Cd (0.1723, 0.1723, 0.5000)
Cd (0.8277, 0.8277, 0.5000)
Bi (0.2943, 0.7057, 0.0000)
Bi (0.7057, 0.2943, 0.0000)



Dy5CdBi4: optimized geometry, PBE-GGA.

Calculated values
E_tot, Ry per atom: -0.337
SG: I4/m, No. 87
Formation enthalpy at 0 K, eV per atom: -0.643

abc: 7.7244 7.7244 7.7244
angles: 99.57 99.57 131.88
Sites, in units of the cell vectors:
Dy (0.0000, 0.0000, 0.0000)
Dy (0.1939, 0.3959, 0.5898)
Dy (0.3959, 0.8061, 0.2021)
Dy (0.6041, 0.1939, 0.7979)
Dy (0.8061, 0.6041, 0.4102)
Cd (0.5000, 0.5000, 0.0000)
Bi (0.1007, 0.7010, 0.8017)
Bi (0.2990, 0.1007, 0.3997)
Bi (0.7010, 0.8993, 0.6003)
Bi (0.8993, 0.2990, 0.1983)



Dy5CdBi2: optimized geometry, PBE-GGA.

Calculated values
E_tot, Ry per atom: -0.309
SG: Cmcm, No. 63
Formation enthalpy at 0 K, eV per atom: -0.245

abc: 6.4794 6.4794 14.9897
angles: 90.00 90.00 128.68
Sites, in units of the cell vectors:
Dy (0.0704, 0.9296, 0.5975)
Dy (0.0704, 0.9296, 0.9025)
Dy (0.3795, 0.6205, 0.5513)
Dy (0.3795, 0.6205, 0.9487)
Dy (0.4268, 0.5732, 0.2500)
Dy (0.5732, 0.4268, 0.7500)
Dy (0.6205, 0.3795, 0.0513)
Dy (0.6205, 0.3795, 0.4487)
Dy (0.9296, 0.0704, 0.0975)
Dy (0.9296, 0.0704, 0.4025)
Cd (0.2798, 0.7202, 0.7500)
Cd (0.7202, 0.2798, 0.2500)
Bi (0.2096, 0.7904, 0.1182)
Bi (0.2096, 0.7904, 0.3818)
Bi (0.7904, 0.2096, 0.6182)
Bi (0.7904, 0.2096, 0.8818)



DyCdBi2: optimized geometry, PBE-GGA.

Calculated values
E_tot, Ry per atom: -0.271
SG: P4/mmm, No. 123
Formation enthalpy at 0 K, eV per atom: -0.370

abc: 5.1081 5.1081 4.2713
angles: 90.00 90.00 90.00
Sites, in units of the cell vectors:
Dy (0.0000, 0.0000, 0.0000)
Cd (0.5000, 0.5000, 0.0000)
Bi (0.0000, 0.5000, 0.5000)
Bi (0.5000, 0.0000, 0.5000)



DyCdBi2: optimized geometry, PBE-GGA.

Calculated values
E_tot, Ry per atom: -0.249
SG: R-3m, No. 166
Formation enthalpy at 0 K, eV per atom: -0.066

abc: 4.4862 4.4862 27.5917
angles: 90.00 90.00 120.00
Sites, in units of the cell vectors:
Dy (0.0000, 0.0000, 0.0000)
Dy (0.3333, 0.6667, 0.6667)
Dy (0.6667, 0.3333, 0.3333)
Cd (0.0000, 0.0000, 0.5000)
Cd (0.3333, 0.6667, 0.1667)
Cd (0.6667, 0.3333, 0.8333)
Bi (0.0000, 0.0000, 0.3984)
Bi (0.0000, 0.0000, 0.6016)
Bi (0.3333, 0.6667, 0.0651)
Bi (0.3333, 0.6667, 0.2682)
Bi (0.6667, 0.3333, 0.7318)
Bi (0.6667, 0.3333, 0.9349)